Entry 1:
Here is an optimized crystal structure of Ca5SmSe6 from Alexandria via LeMat-Bulk. Energies are from PBE-GGA.

Geometry as CIF:
```
data_Ca5SmSe6
_chemical_formula_sum 'Ca5 Sm1 Se6'
_cell_length_a 7.280
_cell_length_b 7.277
_cell_length_c 7.274
_cell_angle_alpha 59.99
_cell_angle_beta 80.40
_cell_angle_gamma 70.51
_space_group_name_H-M_alt 'P 1'
_space_group_IT_number 1
loop_
_space_group_symop_operation_xyz
'x,y,z'
loop_
_atom_site_label
_atom_site_type_symbol
_atom_site_fract_x
_atom_site_fract_y
_atom_site_fract_z
Se1 Se 0.249 0.917 0.668
Se2 Se 0.250 0.249 0.000
Se3 Se 0.750 0.751 0.000
Se4 Se 0.249 0.585 0.332
Se5 Se 0.751 0.083 0.332
Se6 Se 0.751 0.415 0.668
Ca1 Ca 0.500 0.833 0.334
Ca2 Ca 0.000 0.333 0.333
Ca3 Ca 0.500 0.167 0.666
Ca4 Ca 0.500 0.500 0.000
Ca5 Ca 0.000 0.667 0.667
Sm1 Sm 0.000 0.000 0.000
```

Calculated values
SG = C2/m
E = -4.945 eV/atom



Entry 2:
Here is an optimized crystal structure of Sm2BeNiPd6 from Alexandria via LeMat-Bulk. Energies are from PBE-GGA.

Geometry as CIF:
```
data_Sm2BeNiPd6
_chemical_formula_sum 'Sm2 Be1 Ni1 Pd6'
_cell_length_a 6.085
_cell_length_b 6.715
_cell_length_c 7.653
_cell_angle_alpha 49.58
_cell_angle_beta 57.15
_cell_angle_gamma 85.05
_space_group_name_H-M_alt 'P 1'
_space_group_IT_number 1
loop_
_space_group_symop_operation_xyz
'x,y,z'
loop_
_atom_site_label
_atom_site_type_symbol
_atom_site_fract_x
_atom_site_fract_y
_atom_site_fract_z
Ni1 Ni 0.000 0.000 0.000
Sm1 Sm 0.721 0.279 0.529
Sm2 Sm 0.279 0.721 0.471
Pd1 Pd 0.746 0.253 0.130
Pd2 Pd 0.739 0.764 0.972
Pd3 Pd 0.261 0.236 0.028
Pd4 Pd 0.764 0.738 0.525
Pd5 Pd 0.254 0.747 0.870
Pd6 Pd 0.236 0.262 0.475
Be1 Be 0.500 0.500 0.000
```

Calculated values
SG = C2/m
calculated formation energy = -0.5287 eV per atom



Entry 3:
Here is an optimized crystal structure of RbCrSb from Alexandria via LeMat-Bulk. Energies are from PBE-GGA.

Geometry as CIF:
```
data_RbCrSb
_chemical_formula_sum 'Rb2 Cr2 Sb2'
_cell_length_a 4.875
_cell_length_b 4.875
_cell_length_c 8.270
_cell_angle_alpha 90.00
_cell_angle_beta 90.00
_cell_angle_gamma 90.00
_space_group_name_H-M_alt 'P 1'
_space_group_IT_number 1
loop_
_space_group_symop_operation_xyz
'x,y,z'
loop_
_atom_site_label
_atom_site_type_symbol
_atom_site_fract_x
_atom_site_fract_y
_atom_site_fract_z
Sb1 Sb 0.000 0.500 0.332
Sb2 Sb 0.500 0.000 0.668
Rb1 Rb 0.500 0.000 0.155
Rb2 Rb 0.000 0.500 0.845
Cr1 Cr 0.500 0.500 0.500
Cr2 Cr 0.000 0.000 0.500
```

Calculated values
SG = P4/nmm
polymorph energy (0 for the lowest one) = 0.0 meV/atom